Compound: MgBeIn2
Source: the Alexandria database
Functional: PBE-GGA
Structure: relaxed

Structure (POSCAR):
```
MgBeIn2
1.0
3.1085 0.0000 0.0000
0.0000 3.1085 0.0000
0.0000 0.0000 8.3844
Mg Be In
1 1 2
Cartesian
0.0000 0.0000 0.0000 Mg
0.0000 0.0000 4.1922 Be
1.5543 1.5543 2.3592 In
1.5543 1.5543 6.0252 In
```

V in Å³ per atom: 20.3
Polymorph energy (0 for the lowest one) in meV per atom: 50
Crystal system: tetragonal
Formation energy in meV/atom: 279.4
DOS at the Fermi energy in states/eV/atom: 0.403
Energy in eV per atom: -2.42



Compound: CaOs2Ru
Source: the Alexandria database
Functional: PBE-GGA
Structure: relaxed

Structure (POSCAR):
```
CaOs2Ru
1.0
2.8247 0.0000 0.0000
0.0000 4.7341 0.0000
0.0000 0.0000 10.0813
Ca Os Ru
2 4 2
Cartesian
0.0000 0.0000 0.0000 Ca
1.4123 2.3670 5.0407 Ca
0.0000 0.0000 5.0333 Os
0.0000 2.3670 7.9050 Os
1.4123 0.0000 2.8644 Os
1.4123 2.3670 10.0739 Os
0.0000 2.3670 2.2005 Ru
1.4123 0.0000 7.2411 Ru
```

V in Å³ per atom: 16.9
Polymorph energy (0 for the lowest one) in meV per atom: 102
Crystal system: orthorhombic
Formation energy in meV/atom: 508.6
DOS at the Fermi energy in states/eV/atom: 0.936
Energy in eV per atom: -7.93



Compound: HPd3Pt
Source: the Alexandria database
Functional: PBE-GGA
Structure: relaxed

Structure (POSCAR):
```
HPd3Pt
1.0
2.4263 1.4008 6.7584
-2.4263 1.4008 6.7584
0.0000 -2.8017 6.7584
H Pd Pt
2 6 2
Cartesian
0.0000 0.0000 3.3969 H
0.0000 0.0000 16.8783 H
-0.8025 -1.4143 8.9440 Pd
-1.6261 -0.0122 11.3312 Pd
-0.8236 1.4022 8.9440 Pd
0.8236 -1.4022 11.3312 Pd
1.6261 0.0122 8.9439 Pd
0.8025 1.4143 11.3312 Pd
0.0000 0.0000 6.7673 Pt
0.0000 0.0000 13.5078 Pt
```

V in Å³ per atom: 13.8
Polymorph energy (0 for the lowest one) in meV per atom: 128
Crystal system: trigonal
DOS at the Fermi energy in states/eV/atom: 1.516
Energy in eV per atom: -4.90



Compound: Ta3Pt2
Source: the Alexandria database
Functional: PBE-GGA
Structure: relaxed

Structure (POSCAR):
```
Ta3Pt2
1.0
2.8655 0.0000 0.0000
0.0000 3.9812 0.0000
0.0000 0.0000 14.8941
Ta Pt
6 4
Cartesian
0.0000 0.0000 0.0000 Ta
0.0000 0.0000 2.9493 Ta
0.0000 0.0000 11.9447 Ta
1.4327 1.9906 4.4977 Ta
1.4327 1.9906 7.4470 Ta
1.4327 1.9906 10.3964 Ta
0.0000 0.0000 6.0006 Pt
0.0000 0.0000 8.8935 Pt
1.4327 1.9906 1.4465 Pt
1.4327 1.9906 13.4476 Pt
```

V in Å³ per atom: 17.0
Polymorph energy (0 for the lowest one) in meV per atom: 46
Crystal system: orthorhombic
Formation energy in meV/atom: -428.7
DOS at the Fermi energy in states/eV/atom: 0.923
Energy in eV per atom: -9.96



Compound: Co4SiNi
Source: the Alexandria database
Functional: PBE-GGA
Structure: relaxed

Structure (POSCAR):
```
Co4SiNi
1.0
0.0000 3.2599 3.2599
3.2599 0.0000 3.2599
3.2599 3.2599 0.0000
Co Si Ni
4 1 1
Cartesian
0.8157 0.8157 0.8157 Co
2.4442 2.4442 0.8157 Co
2.4442 0.8157 2.4442 Co
0.8157 2.4442 2.4442 Co
4.8898 4.8898 4.8898 Si
3.2599 3.2599 3.2599 Ni
```

V in Å³ per atom: 11.5
Crystal system: cubic
DOS at the Fermi energy in states/eV/atom: 1.294
Energy in eV per atom: -6.42
ΔE_f (raw) in eV/atom: 0.187



Compound: Sr2LiIn6Pb
Source: the Alexandria database
Functional: PBE-GGA
Structure: relaxed

Structure (POSCAR):
```
Sr2LiIn6Pb
1.0
3.6616 2.1140 13.1209
-3.6616 2.1140 13.1209
0.0000 -4.2280 13.1209
Sr Li In Pb
4 2 12 2
Cartesian
0.0000 0.0000 4.1076 Sr
0.0000 0.0000 10.8757 Sr
0.0000 0.0000 28.4869 Sr
0.0000 0.0000 35.2550 Sr
0.0000 0.0000 0.0000 Li
0.0000 0.0000 19.6813 Li
-2.1732 -1.2547 18.6455 In
0.0000 -1.8089 14.1800 In
-1.5665 0.9044 14.1800 In
0.0000 -2.5094 20.7172 In
-2.1732 1.2547 20.7172 In
-1.5665 -0.9044 25.1826 In
1.5665 0.9044 14.1800 In
2.1732 -1.2547 18.6455 In
0.0000 2.5094 18.6455 In
1.5665 -0.9044 25.1827 In
0.0000 1.8089 25.1827 In
2.1732 1.2547 20.7172 In
0.0000 0.0000 16.7414 Pb
0.0000 0.0000 22.6212 Pb
```

V in Å³ per atom: 30.5
Crystal system: trigonal
Formation energy in meV/atom: -191.6
DOS at the Fermi energy in states/eV/atom: 0.451
Energy in eV per atom: -2.73



Compound: MnZn2Hg
Source: the Alexandria database
Functional: PBE-GGA
Structure: relaxed

Structure (POSCAR):
```
MnZn2Hg
1.0
4.0119 0.0000 0.0000
0.0000 4.0119 0.0000
0.0000 0.0000 4.0146
Mn Zn Hg
1 2 1
Cartesian
0.0000 0.0000 0.0000 Mn
0.0000 2.0059 2.0073 Zn
2.0059 0.0000 2.0073 Zn
2.0059 2.0059 0.0000 Hg
```

V in Å³ per atom: 16.2
Crystal system: tetragonal
Formation energy in meV/atom: 144.5
DOS at the Fermi energy in states/eV/atom: 0.598
Energy in eV per atom: -2.86



Compound: CuAgN3
Source: the Alexandria database
Functional: PBE-GGA
Structure: relaxed

Structure (POSCAR):
```
CuAgN3
1.0
3.7915 0.0000 0.0000
0.0000 3.7915 0.0000
0.0000 0.0000 3.7915
Cu Ag N
1 1 3
Cartesian
0.0000 0.0000 0.0000 Cu
1.8957 1.8957 1.8957 Ag
0.0000 0.0000 1.8957 N
0.0000 1.8957 0.0000 N
1.8957 0.0000 0.0000 N
```

V in Å³ per atom: 10.9
Crystal system: cubic
DOS at the Fermi energy in states/eV/atom: 1.150
Energy in eV per atom: -4.21
ΔE_f (raw) in eV/atom: 2.177



no.,M_tot (μB/f.u.)
1,0.0
2,0.0
3,0.0
4,0.0
5,6.1
6,0.0
7,3.2
8,0.0